1.
A plane-wave DFT calculation with GGA-PBE was carried out for ReTcHW2 after structural relaxation.

Results
The value obtained for the density of states at the Fermi level is 5.50 states/eV/cell. The relative energy among the computed polymorphs comes out at 1096 meV/atom.

```
data_ReTcHW2
_cell_length_a 4.8816
_cell_length_b 4.8816
_cell_length_c 3.1561
_cell_angle_alpha 90.00
_cell_angle_beta 90.00
_cell_angle_gamma 90.00
_space_group_name_H-M_alt 'P 4/m m m'
_space_group_IT_number 123
_space_group_name_Hall '-P 4 2'
loop_
_atom_site_label
_atom_site_type_symbol
_atom_site_fract_x
_atom_site_fract_y
_atom_site_fract_z
_atom_site_occupancy
Re1 Re 0.0000 0.0000 0.0000 1
Tc1 Tc 0.5000 0.5000 0.5000 1
H1 H 0.0000 0.0000 0.5000 1
W1 W 0.0000 0.5000 0.0000 1
```

***

2.
A plane-wave DFT calculation with GGA-PBE was carried out for CsBrF3 after structural relaxation.

Results
The value obtained for the density of states at the Fermi level is 15.54 states/eV/cell. The relative energy among the computed polymorphs comes out at 686 meV/atom.

```
data_CsBrF3
_cell_length_a 5.0859
_cell_length_b 5.0859
_cell_length_c 5.0859
_cell_angle_alpha 90.00
_cell_angle_beta 90.00
_cell_angle_gamma 90.00
_space_group_name_H-M_alt 'P m -3 m'
_space_group_IT_number 221
_space_group_name_Hall '-P 4 2 3'
loop_
_atom_site_label
_atom_site_type_symbol
_atom_site_fract_x
_atom_site_fract_y
_atom_site_fract_z
_atom_site_occupancy
Cs1 Cs 0.0000 0.0000 0.0000 1
Br1 Br 0.5000 0.5000 0.5000 1
F1 F 0.0000 0.0000 0.5000 1
```

***

3.
A plane-wave DFT calculation with GGA-PBE was carried out for HoErTm2Sc4 after structural relaxation.

Results
The value obtained for the raw total energy is -159.04 eV for the cell shown. The value obtained for the density of states at the Fermi level is 67.21 states/eV/cell.

```
data_HoErTm2Sc4
_cell_length_a 6.4817
_cell_length_b 11.1835
_cell_length_c 12.6198
_cell_angle_alpha 90.00
_cell_angle_beta 90.00
_cell_angle_gamma 90.00
_space_group_name_H-M_alt 'I m m a'
_space_group_IT_number 74
_space_group_name_Hall '-I 2b 2'
loop_
_atom_site_label
_atom_site_type_symbol
_atom_site_fract_x
_atom_site_fract_y
_atom_site_fract_z
_atom_site_occupancy
Ho1 Ho 0.2500 0.2500 0.2500 1
Er1 Er 0.0000 0.0000 0.0000 1
Tm1 Tm 0.0000 0.0000 0.5000 1
Tm2 Tm 0.2500 0.2500 0.7500 1
Sc1 Sc 0.0000 0.0011 0.7495 1
Sc2 Sc 0.2498 0.2500 0.5011 1
```